Entry 1:
DFT (PBE) results for KCa2CdH after structural relaxation.

a = 5.109 Å, b = 5.109 Å, c = 5.338 Å
α = 90.00°, β = 90.00°, γ = 90.00°
Fractional coordinates of all 5 atoms:
Ca: 0.000 0.500 0.000
Ca: 0.500 0.000 0.000
Cd: 0.500 0.500 0.500
K: 0.000 0.000 0.500
H: 0.000 0.000 0.000

Output
Spin magnetization in μB/f.u.: 0.00



Entry 2:
DFT (PBE) results for InP2CO after structural relaxation.

a = 3.906 Å, b = 5.253 Å, c = 3.906 Å
α = 90.00°, β = 90.00°, γ = 90.00°
Fractional coordinates of all 5 atoms:
O: 0.000 0.000 0.000
In: 0.000 0.500 0.000
P: 0.500 0.000 0.000
P: 0.000 0.000 0.500
C: 0.500 0.500 0.500

Output
Spin magnetization in μB/f.u.: 0.00
Formation energy from raw total energies in eV per atom: 1.3710



Entry 3:
DFT (PBE) results for Zr4TaSn2 after structural relaxation.

a = 4.915 Å, b = 4.915 Å, c = 8.520 Å
α = 73.23°, β = 73.23°, γ = 90.00°
Fractional coordinates of all 7 atoms:
Zr: 0.822 0.822 0.356
Zr: 0.000 0.500 0.000
Ta: 0.000 0.000 0.000
Sn: 0.364 0.364 0.271
Zr: 0.500 0.000 0.000
Sn: 0.636 0.636 0.729
Zr: 0.178 0.178 0.644

Output
Spin magnetization in μB/f.u.: 0.00



no.,calculated total energy (eV/atom)
1,-1.983
2,-4.177
3,-7.242